[1]
BaPr2Cd2Sn2: optimized geometry, PBE.

Cell lengths 5.1241, 5.1241, 29.7777 Å; angles 90.00, 90.00, 120.00 degrees
Space group R-3m (No. 166, hexagonal axes)
Unique sites:
1 Ba 0.0000 0.0000 0.0000 x3
2 Pr 0.0000 0.0000 0.1340 x6
3 Cd 0.0000 0.0000 0.4258 x6
4 Sn 0.0000 0.0000 0.2560 x6

[2]
Be2Mo2W: optimized geometry, PBE.

Cell lengths 6.251, 6.251, 3.218 Å; angles 90.00, 90.00, 90.00 degrees
Space group P4/mbm (No. 127)
Unique sites:
1 Be 0.118 0.382 0.000 x4
2 Mo 0.178 0.678 0.500 x4
3 W 0.000 0.000 0.000 x2

[3]
CaCo: optimized geometry, PBE.

Cell lengths 3.799, 12.107, 5.961 Å; angles 90.00, 90.00, 90.00 degrees
Space group Imm2 (No. 44)
Unique sites:
1 Ca 0.000 0.000 0.000 x2
2 Ca 0.000 0.279 0.750 x4
3 Co 0.000 0.000 0.523 x2
4 Co 0.000 0.406 0.161 x4

[4]
CuRuPt2: optimized geometry, PBE.

Cell lengths 3.864, 3.864, 3.880 Å; angles 90.00, 90.00, 90.00 degrees
Space group P4/mmm (No. 123)
Unique sites:
1 Cu 0.000 0.000 0.000 x1
2 Ru 0.500 0.500 0.000 x1
3 Pt 0.000 0.500 0.500 x2

Number 1: total moment 0.00 μB/f.u., E_form -0.39 eV per atom. Number 2: total moment 0.00 μB/f.u., E_form -0.22 eV per atom. Number 3: total moment 1.15 μB/f.u., E_form 0.25 eV per atom. Number 4: total moment 0.94 μB/f.u., E_form 0.09 eV per atom.